! Cs3CdAg2Br6 (PBE-GGA, optimized geometry); values from VASP
&SYSTEM
  ibrav = 0, nat = 12, ntyp = 4
/
ATOMIC_SPECIES
Cs 132.91 Cs.upf
Cd 112.41 Cd.upf
Ag 107.87 Ag.upf
Br 79.90 Br.upf
ATOMIC_POSITIONS angstrom
Cs 0.0000 0.0000 0.0000
Cs 0.0000 4.8774 5.7395
Cs 4.2240 2.4387 3.3445
Cd 0.0000 0.0000 4.5420
Ag 0.0000 4.8774 1.9754
Ag 4.2240 2.4387 7.1086
Br 0.0000 2.3498 2.7518
Br -2.1890 6.1413 2.7518
Br 2.0350 1.1749 6.3322
Br 2.1890 6.1413 2.7518
Br 6.4130 1.1749 6.3322
Br 4.2240 4.9663 6.3322
CELL_PARAMETERS angstrom
8.4480 0.0000 0.0000
-4.2240 7.3162 0.0000
0.0000 0.0000 9.0840
! uncorrected formation energy	-1.00	eV/atom
! total DFT energy (no corrections)	-2.60	eV per atom